# Ca2AlTe

A relaxed Ca2AlTe crystal (PBE, Alexandria via LeMat-Bulk).

Output
**D(E_F)**: 2.2 states/eV/f.u.
**Uncorrected formation energy**: -2.206 eV/f.u.
**Excess energy over the best structure of this formula in the dataset**: 136.1 meV/atom
**Space group**: I4/mmm, No. 139

Cell lengths 5.691, 5.691, 5.691 Å; angles 127.94, 127.94, 76.73 degrees
Atoms (fractional coordinates):
1 Ca 0.250 0.750 0.500
2 Ca 0.750 0.250 0.500
3 Al 0.000 0.000 0.000
4 Te 0.500 0.500 0.000

=====

# DyYMgOs

A relaxed DyYMgOs crystal (PBE, Alexandria via LeMat-Bulk).

Output
**D(E_F)**: 3.3 states/eV/f.u.
**Energy of formation from the pure elements**: -139.4 meV/atom
**Excess energy over the best structure of this formula in the dataset**: 50.1 meV/atom
**Space group**: F-43m, No. 216

Cell lengths 5.002, 5.002, 5.002 Å; angles 60.00, 60.00, 60.00 degrees
Atoms (fractional coordinates):
1 Dy 0.000 0.000 0.000
2 Y 0.500 0.500 0.500
3 Mg 0.750 0.750 0.750
4 Os 0.250 0.250 0.250

=====

# CdPCl2

A relaxed CdPCl2 crystal (PBE, Alexandria via LeMat-Bulk).

Output
**D(E_F)**: 2.5 states/eV/f.u.
**Uncorrected formation energy**: -1.579 eV/f.u.
**Excess energy over the best structure of this formula in the dataset**: 0.0 meV/atom
**Space group**: Cm, No. 8

Cell lengths 4.489, 4.489, 7.993 Å; angles 92.54, 92.54, 47.32 degrees
Atoms (fractional coordinates):
1 Cd 0.000 0.000 0.000
2 P 0.715 0.715 0.136
3 Cl 0.472 0.472 0.770
4 Cl 0.739 0.739 0.389

=====

# LaMnRu

A relaxed LaMnRu crystal (PBE, Alexandria via LeMat-Bulk).

Output
**D(E_F)**: 1.3 states/eV/f.u.
**Energy of formation from the pure elements**: 263.2 meV/atom
**Space group**: F-43m, No. 216

Cell lengths 4.591, 4.591, 4.591 Å; angles 60.00, 60.00, 60.00 degrees
Atoms (fractional coordinates):
1 La 0.000 0.000 0.000
2 Mn 0.500 0.500 0.500
3 Ru 0.750 0.750 0.750

=====

# Cs10Br4O3

A relaxed Cs10Br4O3 crystal (PBE, Alexandria via LeMat-Bulk).

Output
**Uncorrected formation energy**: -22.617 eV/f.u.
**Space group**: I4/mmm, No. 139

Cell lengths 21.274, 21.274, 21.274 Å; angles 164.10, 164.10, 22.56 degrees
Atoms (fractional coordinates):
1 Cs 0.000 0.500 0.500
2 Cs 0.070 0.070 0.000
3 Cs 0.139 0.639 0.500
4 Cs 0.209 0.209 0.000
5 Cs 0.361 0.861 0.500
6 Cs 0.500 0.000 0.500
7 Cs 0.639 0.139 0.500
8 Cs 0.791 0.791 0.000
9 Cs 0.861 0.361 0.500
10 Cs 0.930 0.930 0.000
11 Br 0.302 0.302 0.000
12 Br 0.433 0.433 0.000
13 Br 0.567 0.567 0.000
14 Br 0.698 0.698 0.000
15 O 0.000 0.000 0.000
16 O 0.144 0.144 0.000
17 O 0.856 0.856 0.000

=====

# CdPI2O

A relaxed CdPI2O crystal (PBE, Alexandria via LeMat-Bulk).

Output
**D(E_F)**: 8.4 states/eV/f.u.
**Uncorrected formation energy**: 2.822 eV/f.u.
**Excess energy over the best structure of this formula in the dataset**: 735.4 meV/atom
**Space group**: P4/mmm, No. 123

Cell lengths 5.907, 5.907, 4.029 Å; angles 90.00, 90.00, 90.00 degrees
Atoms (fractional coordinates):
1 Cd 0.000 0.000 0.000
2 P 0.500 0.500 0.500
3 I 0.000 0.500 0.000
4 I 0.500 0.000 0.000
5 O 0.000 0.000 0.500

=====

> Which formula does entry 2 have?

DyYMgOs